VASP calculation (PBE) on a relaxed structure of RbMn2InBr8.

Computed properties:
As for the space group: P-1 (2). Its total energy is -0.28353 Ry/atom.

extended XYZ file:
```
12
Lattice="6.613 1.295 0.935 1.272 6.834 0.606 1.019 0.697 9.503" Properties=species:S:1:pos:R:3 pbc="T T T"
Mn 4.861 4.895 3.652
In 0.000 0.000 0.000
Br 3.668 2.911 5.072
Br 6.323 3.606 8.539
Br 2.580 5.220 2.505
Br 3.277 1.504 8.417
Br 5.626 7.322 2.627
Br 6.760 3.485 2.718
Br 5.235 5.915 5.972
Rb 0.509 0.348 4.751
Mn 4.042 3.931 7.392
Br 2.143 5.342 8.326
```

---

VASP calculation (PBE) on a relaxed structure of ScMnInBr6.

Computed properties:
As for the space group: P312 (149). Its total energy is -0.31676 Ry/atom.

extended XYZ file:
```
9
Lattice="-5.070 -2.399 4.118 1.546 -2.604 6.265 -0.746 6.612 2.933" Properties=species:S:1:pos:R:3 pbc="T T T"
Br -1.122 -0.618 6.301
Mn -2.723 -0.030 8.389
In -5.816 4.213 7.051
Sc -1.548 1.638 4.927
Br 0.428 3.067 6.028
Br -2.405 3.813 3.627
Br 0.346 0.935 3.174
Br -3.393 0.394 3.443
Br -3.140 2.237 6.992
```

---

VASP calculation (PBE) on a relaxed structure of MnIn2SiBr.

Computed properties:
As for the space group: P4/mmm (123). Its total energy is -0.26360 Ry/atom.

extended XYZ file:
```
5
Lattice="-1.315 -2.803 4.290 4.131 -1.371 0.370 1.110 4.169 3.063" Properties=species:S:1:pos:R:3 pbc="T T T"
In 0.555 2.084 1.532
Si 1.963 -0.003 3.862
Mn 0.000 0.000 0.000
Br 2.065 -0.686 0.185
In -0.657 -1.402 2.145
```